CaFeTe | PBE-GGA | optimized geometry

abc: 5.8954 5.8954 5.8954
angles: 144.07 144.07 51.73
Positions (direct):
Ca1 0.0000 0.0000 0.0000
Fe1 0.3041 0.3041 0.0000
Te1 0.7029 0.7029 0.0000

* space group: I4mm, No. 107
* DFT total energy: -13.87 eV/cell
* DOS at the Fermi energy: 3.1 states/eV/f.u.
* total moment: 2.7 μB per formula unit
* uncorrected formation energy: -0.27 eV/f.u.

---

Ca3FeTe | PBE-GGA | optimized geometry

abc: 5.3018 5.3018 5.3018
angles: 90.00 90.00 90.00
Positions (direct):
Ca1 0.0000 0.0000 0.5000
Ca2 0.0000 0.5000 0.0000
Ca3 0.5000 0.0000 0.0000
Fe1 0.0000 0.0000 0.0000
Te1 0.5000 0.5000 0.5000

* space group: Pm-3m, No. 221
* DFT total energy: -17.81 eV/cell
* DOS at the Fermi energy: 4.0 states/eV/f.u.
* total moment: 0.7 μB per formula unit
* uncorrected formation energy: -0.20 eV/f.u.

---

Ca4FeTe | PBE-GGA | optimized geometry

abc: 6.5824 6.5824 6.5824
angles: 60.00 60.00 60.00
Positions (direct):
Ca1 0.1247 0.1247 0.1247
Ca2 0.1247 0.1247 0.6259
Ca3 0.1247 0.6259 0.1247
Ca4 0.6259 0.1247 0.1247
Fe1 0.7500 0.7500 0.7500
Te1 0.5000 0.5000 0.5000

* space group: F-43m, No. 216
* DFT total energy: -16.85 eV/cell
* DOS at the Fermi energy: 9.6 states/eV/f.u.
* total moment: 1.8 μB per formula unit
* uncorrected formation energy: 2.76 eV/f.u.

---

CaFeTe | PBE-GGA | optimized geometry

abc: 4.5637 4.5637 4.5637
angles: 60.00 60.00 60.00
Positions (direct):
Ca1 0.0000 0.0000 0.0000
Fe1 0.7500 0.7500 0.7500
Te1 0.5000 0.5000 0.5000

* space group: F-43m, No. 216
* DFT total energy: -14.15 eV/cell
* DOS at the Fermi energy: 1.3 states/eV/f.u.
* total moment: 2.0 μB per formula unit
* uncorrected formation energy: -0.55 eV/f.u.

---

CaYFeTe2 | PBE-GGA | optimized geometry

abc: 5.2904 5.2904 4.5321
angles: 90.00 90.00 90.00
Positions (direct):
Ca1 0.0000 0.0000 0.0000
Y1 0.5000 0.5000 0.0000
Fe1 0.0000 0.0000 0.5000
Te1 0.0000 0.5000 0.5000
Te2 0.5000 0.0000 0.5000

* space group: P4/mmm, No. 123
* DFT total energy: -23.68 eV/cell
* DOS at the Fermi energy: 4.9 states/eV/f.u.
* total moment: 0.0 μB per formula unit
* uncorrected formation energy: -0.47 eV/f.u.

---

CaZrFe2Te | PBE-GGA | optimized geometry

abc: 4.3843 4.3843 5.4586
angles: 90.00 90.00 90.00
Positions (direct):
Ca1 0.0000 0.0000 0.0000
Zr1 0.5000 0.5000 0.5000
Fe1 0.0000 0.5000 0.0000
Fe2 0.5000 0.0000 0.0000
Te1 0.0000 0.0000 0.5000

* space group: P4/mmm, No. 123
* DFT total energy: -22.86 eV/cell
* DOS at the Fermi energy: 10.3 states/eV/f.u.
* total moment: 0.1 μB per formula unit
* uncorrected formation energy: 7.75 eV/f.u.

---

Q: Which of these has the highest total moment?
A: number 1

---

Q: Which formula does entry 2 have?
A: Ca3FeTe